(1)
## K2YAs (PBE-GGA)

Data for an optimized crystal structure of K2YAs.

Geometry as POSCAR:
```
K2YAs
1.0
-1.9745 2.0797 10.6567
1.9745 -2.0797 10.6567
1.9745 2.0797 -10.6567
K Y As
2 1 1
direct
0.1590 0.1590 0.0000
0.8410 0.8410 0.0000
0.5000 0.0000 0.5000
0.0000 0.5000 0.5000
```

Properties
The calculation puts the energy at -3.796 eV per atom.

(2)
## K2YAs (PBE-GGA)

Data for an optimized crystal structure of K2YAs.

Geometry as POSCAR:
```
K2YAs
1.0
-2.0309 2.9983 7.0638
2.0309 -2.9983 7.0638
2.0309 2.9983 -7.0638
K Y As
2 1 1
direct
0.0000 0.0000 0.0000
0.6626 0.1626 0.5000
0.3376 0.8376 0.5000
0.4663 0.4663 0.0000
```

Properties
The calculation puts the energy at -3.571 eV per atom.

(3)
## KYAs3 (PBE-GGA)

Data for an optimized crystal structure of KYAs3.

Geometry as POSCAR:
```
KYAs3
1.0
5.2198 0.0000 0.0000
0.0000 5.2198 0.0000
0.0000 0.0000 5.2198
K Y As
1 1 3
direct
0.0000 0.0000 0.0000
0.5000 0.5000 0.5000
0.0000 0.0000 0.5000
0.0000 0.5000 0.0000
0.5000 0.0000 0.0000
```

Properties
The calculation puts the energy at -3.454 eV per atom. The excess energy over the best structure of this formula in the dataset is 980 meV/atom.

(4)
## KY4As (PBE-GGA)

Data for an optimized crystal structure of KY4As.

Geometry as POSCAR:
```
KY4As
1.0
0.0000 4.6880 4.6880
4.6880 0.0000 4.6880
4.6880 4.6880 0.0000
K Y As
1 4 1
direct
0.0000 0.0000 0.0000
0.1279 0.6240 0.6240
0.6240 0.1279 0.6240
0.6240 0.6240 0.1279
0.6240 0.6240 0.6240
0.2500 0.2500 0.2500
```

Properties
The calculation puts the energy at -4.802 eV per atom.

(5)
## KYAs3 (PBE-GGA)

Data for an optimized crystal structure of KYAs3.

Geometry as POSCAR:
```
KYAs3
1.0
5.5021 0.0000 0.0000
0.0000 5.5021 0.0000
0.0000 0.0000 5.5021
K Y As
1 1 3
direct
0.0000 0.0000 0.0000
0.5000 0.5000 0.5000
0.0000 0.5000 0.5000
0.5000 0.0000 0.5000
0.5000 0.5000 0.0000
```

Properties
The calculation puts the energy at -4.434 eV per atom. The excess energy over the best structure of this formula in the dataset is 0 meV/atom.

(6)
## K2YAs (PBE-GGA)

Data for an optimized crystal structure of K2YAs.

Geometry as POSCAR:
```
K2YAs
1.0
3.8190 -2.2011 0.0000
3.8190 2.2011 0.0000
-2.3991 0.0000 11.1896
K Y As
2 1 1
direct
0.0000 0.0000 0.0000
0.2000 0.2000 0.6217
0.4276 0.4276 0.2991
0.7285 0.7285 0.1968
```

Properties
The calculation puts the energy at -3.763 eV per atom.

(7)
## K2YAs (PBE-GGA)

Data for an optimized crystal structure of K2YAs.

Geometry as POSCAR:
```
K2YAs
1.0
4.4964 0.0000 0.0000
0.0000 4.4964 0.0000
0.0000 0.0000 6.2119
K Y As
2 1 1
direct
0.0000 0.5000 0.0000
0.5000 0.0000 0.0000
0.0000 0.0000 0.5000
0.5000 0.5000 0.5000
```

Properties
The calculation puts the energy at -3.458 eV per atom.

(8)
## K2YAs (PBE-GGA)

Data for an optimized crystal structure of K2YAs.

Geometry as POSCAR:
```
K2YAs
1.0
-2.2350 2.2350 6.3024
2.2350 -2.2350 6.3024
2.2350 2.2350 -6.3024
K Y As
2 1 1
direct
0.2500 0.7500 0.5000
0.7500 0.2500 0.5000
0.0000 0.0000 0.0000
0.5000 0.5000 0.0000
```

Properties
The calculation puts the energy at -3.442 eV per atom.

Copy entry 6 word for word.
## K2YAs (PBE-GGA)

Data for an optimized crystal structure of K2YAs.

Geometry as POSCAR:
```
K2YAs
1.0
3.8190 -2.2011 0.0000
3.8190 2.2011 0.0000
-2.3991 0.0000 11.1896
K Y As
2 1 1
direct
0.0000 0.0000 0.0000
0.2000 0.2000 0.6217
0.4276 0.4276 0.2991
0.7285 0.7285 0.1968
```

Properties
The calculation puts the energy at -3.763 eV per atom.

Number 2 is which compound? K2YAs